# 1
The following is a DFT calculation (PBE) of TaV3Si after structural relaxation.

Formation energy without anion corrections, eV per atom: -0.251
Crystal system: orthorhombic

Cell lengths 8.374, 3.175, 10.976 Å; angles 90.00, 90.00, 90.00 degrees
Space group Pnma (No. 62)
Asymmetric unit:
Ta 0.152 0.250 0.012
V 0.060 0.250 0.415
V 0.087 0.750 0.228
V 0.158 0.750 0.800
Si 0.152 0.250 0.630

***

# 2
The following is a DFT calculation (PBE) of LiVCu2Rh after structural relaxation.

DFT formation energy, meV per atom: 796
Crystal system: tetragonal

Cell lengths 4.650, 4.650, 4.390 Å; angles 90.00, 90.00, 90.00 degrees
Space group P4/mmm (No. 123)
Asymmetric unit:
Li 0.000 0.000 0.000
V 0.500 0.500 0.500
Cu 0.000 0.500 0.500
Rh 0.500 0.500 0.000